First-principles (GGA-PBE) data for CoBiBAu after structural relaxation, as listed in OQMD.

Values from the calculation:
* energy relative to the lowest polymorph listed for this composition: 0.0000 eV/atom
* SG: No. 216
* theoretical density: 12.16 g/cm³

Unit cell a=4.512 b=4.512 c=4.512 alpha=60.00 beta=60.00 gamma=60.00
Element x y z (fractional)
Bi 0.250 0.250 0.250
B 0.500 0.500 0.500
Au 0.750 0.750 0.750
Co 0.000 0.000 0.000